BaBeBAu: relaxed, PBE.

Crystal system ... cubic
E above lowest polymorph ... 0 meV/atom

Cell lengths 6.7055, 6.7055, 6.7055 Å; angles 90.00, 90.00, 90.00 degrees
Space group F-43m (No. 216)
Symmetry-distinct sites (fractional):
Ba1 0.0000 0.0000 0.0000 x4
Be1 0.2500 0.2500 0.7500 x4
B1 0.2500 0.2500 0.2500 x4
Au1 0.0000 0.0000 0.5000 x4